[1]
Density functional theory data (PBE) for crystalline CeGeIrO at its relaxed geometry.

Calculated values
Its final energy is -63.2 eV/cell. As for the space-group type: P4/nmm (129). For the raw formation energy, the calculation gives -1813 meV per atom. As for the density of states at the Fermi level: 4.24 states/eV/f.u.

```
CeGeIrO
1.0
-2.138 -0.103 -3.509
-2.261 -3.103 1.468
-5.319 5.337 3.084
Ce Ge Ir O
2 2 2 2
Cartesian
-4.488 3.379 0.228
-3.031 0.355 1.836
-5.557 2.890 3.301
-1.962 0.844 -1.237
-2.200 -1.603 -1.020
0.000 0.000 0.000
-2.660 2.668 1.542
-4.859 1.066 0.522
```

=====

[2]
Density functional theory data (PBE) for crystalline CeGe2IrOs at its relaxed geometry.

Calculated values
Its final energy is -38.2 eV/cell. As for the space-group type: I-4m2 (119). As for the density of states at the Fermi level: 4.12 states/eV/f.u. The formation energy from the elements comes out at -0.590 eV/atom.

```
CeGe2IrOs
1.0
-1.234 -1.781 -3.649
-1.059 -3.541 2.086
-3.564 4.484 1.485
Ce Ge Ir Os
1 2 1 1
Cartesian
0.000 0.000 0.000
-2.329 -2.203 -0.605
-3.528 1.365 0.527
-2.885 -0.859 1.395
-2.972 0.021 -1.473
```

=====

[3]
Density functional theory data (PBE) for crystalline Ce2Ge6IrOs at its relaxed geometry.

Calculated values
Its final energy is -125.0 eV/cell. As for the space-group type: Pmmn (59). As for the density of states at the Fermi level: 14.27 states/eV/f.u. The formation energy from the elements comes out at -0.285 eV/atom.

```
Ce2Ge6IrOs
1.0
-1.506 -2.379 5.707
4.832 -5.645 -1.078
6.438 4.804 3.701
Ce Ge Ir Os
4 12 2 2
Cartesian
4.560 -4.259 2.976
6.016 2.272 2.534
7.720 -1.901 4.793
2.739 -0.174 0.650
1.576 -1.131 3.492
5.110 1.506 5.524
5.722 -3.302 0.134
8.626 -1.136 1.803
7.536 -3.487 1.984
6.646 -4.894 5.360
4.948 -0.893 3.118
4.370 -1.807 5.311
1.423 -5.005 4.021
2.350 -3.540 0.508
-0.238 -0.946 1.642
-0.853 -1.917 3.972
6.233 -1.119 1.178
1.066 -3.314 2.448
3.252 0.295 4.529
4.047 -4.728 -0.903
```

=====

[4]
Density functional theory data (PBE) for crystalline CePaGe2Ir5 at its relaxed geometry.

Calculated values
Its final energy is -73.5 eV/cell. As for the space-group type: P4/mmm (123). As for the density of states at the Fermi level: 10.11 states/eV/f.u. The formation energy from the elements comes out at -0.499 eV/atom.

```
CePaGe2Ir5
1.0
-1.241 -3.771 -0.586
2.547 -0.359 -3.080
8.275 -3.857 7.292
Ce Pa Ge Ir
1 1 2 5
Cartesian
4.138 -1.928 3.646
0.000 0.000 0.000
3.068 -3.190 0.295
6.513 -4.796 3.331
2.677 -0.834 -0.303
0.783 -2.540 0.944
8.145 -3.382 4.515
6.252 -5.088 5.762
4.791 -3.993 1.813
```

=====

[5]
Density functional theory data (PBE) for crystalline Ce2Ge4Ir3Pd at its relaxed geometry.

Calculated values
Its final energy is -69.8 eV/cell. As for the space-group type: P-4m2 (115). As for the density of states at the Fermi level: 10.50 states/eV/f.u. The formation energy from the elements comes out at -0.768 eV/atom.

```
Ce2Ge4Ir3Pd
1.0
-2.898 2.801 -1.460
-2.842 -3.177 -0.455
-3.266 1.564 9.483
Ce Ge Ir Pd
2 4 3 1
Cartesian
-2.234 1.777 1.549
-3.902 -0.401 6.976
-2.870 -0.188 -0.957
0.000 0.000 0.000
-3.516 2.391 5.273
-2.619 -1.015 3.253
-1.633 0.782 4.742
-4.299 2.766 7.547
-1.836 -1.390 0.979
-4.503 0.594 3.784
```

=====

[6]
Density functional theory data (PBE) for crystalline Ce2Ge3Ir4Pd at its relaxed geometry.

Calculated values
Its final energy is -73.3 eV/cell. As for the space-group type: P-4m2 (115). As for the density of states at the Fermi level: 9.28 states/eV/f.u. The formation energy from the elements comes out at -0.691 eV/atom.

```
Ce2Ge3Ir4Pd
1.0
4.129 0.000 0.000
0.000 4.129 0.000
0.000 0.000 10.871
Ce Ge Ir Pd
2 3 4 1
Cartesian
2.065 0.000 2.769
0.000 2.065 8.101
0.000 0.000 5.435
2.065 0.000 9.503
0.000 2.065 1.367
2.065 2.065 0.000
0.000 0.000 0.000
2.065 0.000 7.085
0.000 2.065 3.786
2.065 2.065 5.435
```

=====

[7]
Density functional theory data (PBE) for crystalline Ce2PmGe3Ir4 at its relaxed geometry.

Calculated values
Its final energy is -73.2 eV/cell. As for the space-group type: P-4m2 (115). As for the density of states at the Fermi level: 10.39 states/eV/f.u. The formation energy from the elements comes out at -0.724 eV/atom.

```
Ce2PmGe3Ir4
1.0
4.181 0.000 0.000
0.000 4.181 0.000
0.000 0.000 11.474
Ce Pm Ge Ir
2 1 3 4
Cartesian
2.090 0.000 2.617
0.000 2.090 8.857
2.090 2.090 5.737
0.000 0.000 5.737
2.090 0.000 10.104
0.000 2.090 1.370
2.090 2.090 0.000
0.000 0.000 0.000
2.090 0.000 7.662
0.000 2.090 3.812
```

=====

[8]
Density functional theory data (PBE) for crystalline CePmGeIr at its relaxed geometry.

Calculated values
Its final energy is -26.4 eV/cell. As for the space-group type: F-43m (216). As for the density of states at the Fermi level: 4.90 states/eV/f.u. The formation energy from the elements comes out at -0.558 eV/atom. For the excess energy over the best structure of this formula in the dataset, the calculation gives 0.000 eV/atom.

```
CePmGeIr
1.0
-3.645 1.299 -3.274
-4.871 -0.659 1.238
-2.941 4.019 0.945
Ge Ir Ce Pm
1 1 1 1
Cartesian
0.000 0.000 0.000
-5.728 2.330 -0.546
-2.864 1.165 -0.273
-8.593 3.495 -0.819
```

=====

[9]
Density functional theory data (PBE) for crystalline CePm2Ge4Ir3 at its relaxed geometry.

Calculated values
Its final energy is -67.4 eV/cell. As for the space-group type: P-4m2 (115). As for the density of states at the Fermi level: 7.33 states/eV/f.u. The formation energy from the elements comes out at -0.689 eV/atom.

```
CePm2Ge4Ir3
1.0
-3.073 1.705 2.424
-2.752 -0.347 -3.245
-2.924 -10.368 3.588
Ce Pm Ge Ir
1 2 4 3
Cartesian
-4.374 -4.505 1.383
-2.196 -1.486 2.021
-3.640 -8.203 1.156
-2.912 0.679 -0.411
0.000 0.000 0.000
-3.505 -6.129 3.627
-2.331 -3.560 -0.451
-1.462 -5.184 1.794
-4.130 -8.344 4.394
-1.706 -1.345 -1.217
```

=====

[10]
Density functional theory data (PBE) for crystalline CePmGeIr at its relaxed geometry.

Calculated values
Its final energy is -51.9 eV/cell. As for the space-group type: P4/nmm (129). As for the density of states at the Fermi level: 6.51 states/eV/f.u. The formation energy from the elements comes out at -0.449 eV/atom. For the excess energy over the best structure of this formula in the dataset, the calculation gives 0.109 eV/atom.

```
CePmGeIr
1.0
4.552 0.000 0.000
0.000 4.552 0.000
0.000 0.000 10.127
Ce Pm Ge Ir
2 2 2 2
Cartesian
0.000 0.000 5.064
2.276 2.276 5.064
0.000 2.276 8.320
2.276 0.000 1.807
2.276 0.000 9.097
0.000 2.276 1.031
0.000 2.276 3.419
2.276 0.000 6.709
```

=====

Copy entry 1 word for word.
Density functional theory data (PBE) for crystalline CeGeIrO at its relaxed geometry.

Calculated values
Its final energy is -63.2 eV/cell. As for the space-group type: P4/nmm (129). For the raw formation energy, the calculation gives -1813 meV per atom. As for the density of states at the Fermi level: 4.24 states/eV/f.u.

```
CeGeIrO
1.0
-2.138 -0.103 -3.509
-2.261 -3.103 1.468
-5.319 5.337 3.084
Ce Ge Ir O
2 2 2 2
Cartesian
-4.488 3.379 0.228
-3.031 0.355 1.836
-5.557 2.890 3.301
-1.962 0.844 -1.237
-2.200 -1.603 -1.020
0.000 0.000 0.000
-2.660 2.668 1.542
-4.859 1.066 0.522
```

=====

Look up the final energy of the sixth one. -73.3 eV/cell

=====

What is the final energy in the eighth record? -26.4 eV/cell